[1]
First-principles (PBE-GGA) data for a relaxed Zr2TaNi crystal, as listed in Alexandria via LeMat-Bulk.

Properties
E ... -8.78 eV per atom
Crystal system ... tetragonal
E above lowest polymorph ... 0.029 eV per atom
DFT formation energy ... -0.101 eV per atom
Space group ... No. 99

Geometry as extended XYZ:
```
4
Lattice="3.1110 0.0000 0.0000 0.0000 3.1110 0.0000 0.0000 0.0000 7.7928" Properties=species:S:1:pos:R:3 pbc="T T T"
Ta 1.5555 1.5555 5.5140
Ni 0.0000 0.0000 4.1353
Zr 1.5555 1.5555 2.2161
Zr 0.0000 0.0000 7.6166
```



[2]
First-principles (PBE-GGA) data for a relaxed Zr2TaNi crystal, as listed in Alexandria via LeMat-Bulk.

Properties
E ... -8.81 eV per atom
Crystal system ... tetragonal
E above lowest polymorph ... 0.000 eV per atom
DFT formation energy ... -0.129 eV per atom
Space group ... No. 123

Geometry as extended XYZ:
```
4
Lattice="3.2164 0.0000 0.0000 0.0000 3.2096 -0.0137 0.0000 3.2480 7.2228" Properties=species:S:1:pos:R:3 pbc="T T T"
Ta 1.6082 4.8432 5.4068
Zr 0.0000 3.2288 3.4558
Ni 1.6082 1.6144 1.8023
Zr 0.0000 3.2096 0.1350
```



[3]
First-principles (PBE-GGA) data for a relaxed ZrTaNi crystal, as listed in Alexandria via LeMat-Bulk.

Properties
E ... -8.90 eV per atom
Crystal system ... tetragonal
E above lowest polymorph ... 0.079 eV per atom
DFT formation energy ... -0.176 eV per atom
Space group ... No. 107

Geometry as extended XYZ:
```
3
Lattice="5.8957 -0.0050 0.0054 5.0858 2.9819 -0.0017 0.8099 0.2258 2.9784" Properties=species:S:1:pos:R:3 pbc="T T T"
Ni 10.7929 2.9258 0.0589
Ta 4.4326 1.2056 1.9190
Zr 7.5475 2.0481 1.0080
```



[4]
First-principles (PBE-GGA) data for a relaxed Zr2TaNi crystal, as listed in Alexandria via LeMat-Bulk.

Properties
E ... -8.56 eV per atom
Crystal system ... monoclinic
E above lowest polymorph ... 0.248 eV per atom
DFT formation energy ... 0.119 eV per atom
Space group ... No. 12

Geometry as extended XYZ:
```
4
Lattice="-0.2513 -5.5938 -0.2676 4.4777 2.3753 -1.6448 1.8915 -0.8141 2.2305" Properties=species:S:1:pos:R:3 pbc="T T T"
Zr 0.8201 -3.2040 0.9814
Zr 0.0000 0.0000 0.0000
Ta 2.1132 -1.6093 -0.9562
Ni 3.1846 0.7806 0.2928
```



[5]
First-principles (PBE-GGA) data for a relaxed ZrTa2Ni2 crystal, as listed in Alexandria via LeMat-Bulk.

Properties
E ... -8.53 eV per atom
Crystal system ... tetragonal
E above lowest polymorph ... 0.351 eV per atom
DFT formation energy ... 0.230 eV per atom
Space group ... No. 139

Geometry as extended XYZ:
```
5
Lattice="3.9040 0.0000 0.0000 0.0000 3.9040 0.0000 1.9520 1.9520 5.7782" Properties=species:S:1:pos:R:3 pbc="T T T"
Ni 1.9520 3.9040 2.8891
Ni 3.9040 1.9520 2.8891
Ta 1.9520 1.9520 1.3760
Zr 0.0000 0.0000 0.0000
Ta 3.9040 3.9040 4.4023
```



[6]
First-principles (PBE-GGA) data for a relaxed ZrTaNi crystal, as listed in Alexandria via LeMat-Bulk.

Properties
E ... -8.98 eV per atom
Crystal system ... orthorhombic
E above lowest polymorph ... 0.000 eV per atom
DFT formation energy ... -0.255 eV per atom
Space group ... No. 69

Geometry as extended XYZ:
```
6
Lattice="-2.8006 -0.0570 -4.2891 3.8042 -3.3477 0.7510 -3.4240 -1.1817 3.7154" Properties=species:S:1:pos:R:3 pbc="T T T"
Ni 0.4410 -3.1159 1.3487
Zr -0.5477 -1.1795 -2.5700
Ni -2.8614 -1.4705 -1.1714
Ta -0.9378 -0.9256 0.6247
Ta -1.4825 -3.6609 -0.4474
Zr 1.5513 -2.2253 -0.9682
```



[7]
First-principles (PBE-GGA) data for a relaxed Zr2TaNi crystal, as listed in Alexandria via LeMat-Bulk.

Properties
E ... -8.57 eV per atom
Crystal system ... trigonal
E above lowest polymorph ... 0.238 eV per atom
DFT formation energy ... 0.109 eV per atom
Space group ... No. 160

Geometry as extended XYZ:
```
4
Lattice="-5.0129 7.7474 0.3538 -4.9323 7.0268 3.4019 -2.5651 8.6177 2.1051" Properties=species:S:1:pos:R:3 pbc="T T T"
Ta -9.5150 17.7914 4.4576
Zr -0.0625 0.1168 0.0293
Ni -6.1900 11.5741 2.8999
Zr -2.9979 5.6054 1.4044
```



[8]
First-principles (PBE-GGA) data for a relaxed ZrTaNi crystal, as listed in Alexandria via LeMat-Bulk.

Properties
E ... -8.63 eV per atom
Crystal system ... trigonal
E above lowest polymorph ... 0.352 eV per atom
DFT formation energy ... 0.097 eV per atom
Space group ... No. 156

Geometry as extended XYZ:
```
3
Lattice="-1.0044 -0.1239 -2.9435 -1.6232 -1.3974 2.2585 -3.3479 5.3701 0.9164" Properties=species:S:1:pos:R:3 pbc="T T T"
Zr -3.6934 2.6786 1.1476
Ta -2.2342 1.0933 -0.9293
Ni -0.0479 0.0769 0.0131
```



[9]
First-principles (PBE-GGA) data for a relaxed Zr2TaNi2 crystal, as listed in Alexandria via LeMat-Bulk.

Properties
E ... -8.01 eV per atom
Crystal system ... tetragonal
E above lowest polymorph ... 0.307 eV per atom
DFT formation energy ... 0.092 eV per atom
Space group ... No. 139

Geometry as extended XYZ:
```
5
Lattice="3.2891 0.0000 0.0000 0.0000 3.2891 0.0000 1.6446 1.6446 8.3404" Properties=species:S:1:pos:R:3 pbc="T T T"
Zr 3.2891 3.2891 6.3478
Ni 1.6446 3.2891 4.1702
Ta 0.0000 0.0000 0.0000
Ni 3.2891 1.6446 4.1702
Zr 1.6446 1.6446 1.9926
```



[10]
First-principles (PBE-GGA) data for a relaxed ZrTa2Ni2 crystal, as listed in Alexandria via LeMat-Bulk.

Properties
E ... -8.80 eV per atom
Crystal system ... tetragonal
E above lowest polymorph ... 0.085 eV per atom
DFT formation energy ... -0.036 eV per atom
Space group ... No. 139

Geometry as extended XYZ:
```
5
Lattice="-1.8604 -2.9524 -1.8810 3.4829 -1.7757 -0.6577 0.3273 -5.0550 3.4332" Properties=species:S:1:pos:R:3 pbc="T T T"
Ta -0.3610 -5.1857 0.1414
Ni 0.7122 -2.9147 -0.3071
Ni 1.2376 -6.8684 1.2015
Ta 2.3107 -4.5974 0.7530
Zr 0.0000 0.0000 0.0000
```



[11]
First-principles (PBE-GGA) data for a relaxed Zr2TaNi crystal, as listed in Alexandria via LeMat-Bulk.

Properties
E ... -8.13 eV per atom
Crystal system ... tetragonal
E above lowest polymorph ... 0.678 eV per atom
DFT formation energy ... 0.548 eV per atom
Space group ... No. 122

Geometry as extended XYZ:
```
8
Lattice="3.9479 0.0000 0.0000 0.0000 3.9479 0.0000 1.9739 1.9739 9.9658" Properties=species:S:1:pos:R:3 pbc="T T T"
Zr 2.9609 2.9752 7.4743
Zr 2.9466 0.9870 2.4914
Zr 1.0013 2.9609 2.4914
Zr 4.9349 4.9206 7.4743
Ta 3.9479 1.9739 4.9829
Ta 0.0000 0.0000 0.0000
Ni 1.9739 1.9739 0.0000
Ni 1.9739 3.9479 4.9829
```



[12]
First-principles (PBE-GGA) data for a relaxed Zr2TaNi2 crystal, as listed in Alexandria via LeMat-Bulk.

Properties
E ... -8.32 eV per atom
Crystal system ... tetragonal
E above lowest polymorph ... 0.000 eV per atom
DFT formation energy ... -0.215 eV per atom
Space group ... No. 127

Geometry as extended XYZ:
```
10
Lattice="-4.8303 -5.3332 -0.6736 5.3694 -4.8302 -0.2602 -0.1170 -0.3055 3.2578" Properties=species:S:1:pos:R:3 pbc="T T T"
Ni 2.8867 -6.2239 -0.4800
Zr -0.7240 -2.7331 1.3630
Zr 1.1461 -7.7359 0.9610
Zr -2.2966 -6.1577 0.9854
Ta 0.2695 -5.0817 -0.4669
Ta 0.0000 0.0000 0.0000
Ni -0.8682 -7.6853 -0.7519
Ni -2.3476 -3.9395 -0.4538
Zr 2.7186 -4.3113 1.3387
Ni 1.4073 -2.4781 -0.1819
```



[13]
First-principles (PBE-GGA) data for a relaxed ZrTaNi crystal, as listed in Alexandria via LeMat-Bulk.

Properties
E ... -8.97 eV per atom
Crystal system ... orthorhombic
E above lowest polymorph ... 0.017 eV per atom
DFT formation energy ... -0.239 eV per atom
Space group ... No. 70

Geometry as extended XYZ:
```
12
Lattice="4.9012 0.0000 1.3543 2.4506 4.3306 0.6772 -0.0165 0.0000 9.6056" Properties=species:S:1:pos:R:3 pbc="T T T"
Ni 5.5067 2.1653 3.9361
Zr 4.9012 1.4780 1.3543
Ta 2.8357 2.1653 4.0565
Zr 4.8930 3.6434 6.1571
Ni 4.2875 0.0000 3.5754
Ta 2.0490 2.1653 6.9034
Ta 2.8274 0.0000 8.8593
Zr 4.8930 0.6873 6.1571
Ta 2.0573 0.0000 2.1006
Ni 0.5972 0.0000 7.3846
Zr 2.4506 2.8526 0.6772
Ni 4.2792 2.1653 8.3782
```